#1
DySc2Zn | GGA-PBE | relaxed

Cell lengths 6.1673, 6.1673, 6.1673 Å; angles 147.19, 131.52, 59.78 degrees
Element x y z (fractional)
Dy (0.0000, 0.0000, 0.0000)
Sc (0.2837, 0.7837, 0.5000)
Sc (0.7163, 0.2163, 0.5000)
Zn (0.5000, 0.5000, 0.0000)

Calculated values
The magnetization is 0.000 μB/atom. Its space-group type is No. 71.

#2
DySc2Zn | GGA-PBE | relaxed

Cell lengths 9.9550, 9.9550, 9.9550 Å; angles 19.63, 19.63, 19.63 degrees
Element x y z (fractional)
Dy (0.0000, 0.0000, 0.0000)
Sc (0.5711, 0.5711, 0.5711)
Sc (0.7609, 0.7609, 0.7609)
Zn (0.1656, 0.1656, 0.1656)

Calculated values
The magnetization is 0.136 μB/atom. Its space-group type is No. 160.

Which structure wins on stability? #1 wins.

#1
DySc2Zn | GGA-PBE | relaxed

Cell lengths 4.4887, 4.4887, 4.5783 Å; angles 90.00, 90.00, 90.00 degrees
Element x y z (fractional)
Dy (0.0000, 0.0000, 0.0000)
Sc (0.0000, 0.5000, 0.5000)
Sc (0.5000, 0.0000, 0.5000)
Zn (0.5000, 0.5000, 0.0000)

Calculated values
The magnetization is 0.145 μB/atom. Its space-group type is No. 123.

#2
DySc2Zn | GGA-PBE | relaxed

Cell lengths 3.3566, 3.3566, 8.3086 Å; angles 90.00, 90.00, 90.00 degrees
Element x y z (fractional)
Dy (0.0000, 0.0000, 0.0000)
Sc (0.5000, 0.5000, 0.2980)
Sc (0.5000, 0.5000, 0.7020)
Zn (0.0000, 0.0000, 0.5000)

Calculated values
The magnetization is 0.000 μB/atom. Its space-group type is No. 123.

#3
DySc2Zn | GGA-PBE | relaxed

Cell lengths 10.9698, 10.9698, 10.9698 Å; angles 17.10, 17.10, 17.10 degrees
Element x y z (fractional)
Dy (0.0000, 0.0000, 0.0000)
Sc (0.1006, 0.1006, 0.1006)
Sc (0.8994, 0.8994, 0.8994)
Zn (0.5000, 0.5000, 0.5000)

Calculated values
The magnetization is 0.127 μB/atom. Its space-group type is No. 166.

Which structure wins on stability? #2 wins.